Version w
Density functional theory data (PBE+U) for a geometry-optimized Rb3FeO3 structure.

a b c (Å): 7.513 11.747 6.941
angles (deg): 90.00 102.92 90.00
Space group C2/m (No. 12)
Inequivalent atoms, fractional coordinates:
Rb1 0.000 0.194 0.000 x4
Rb2 0.000 0.260 0.500 x4
Rb3 0.128 0.500 0.846 x4
Fe1 0.165 0.000 0.647 x4
O1 0.099 0.000 0.353 x4
O2 0.214 0.368 0.235 x8

Total magnetic moment ... 0.714 μB/atom

---

Version x
Density functional theory data (PBE+U) for a geometry-optimized Rb3FeO3 structure.

a b c (Å): 7.555 13.316 7.013
angles (deg): 90.00 116.75 90.00
Space group P2_1/c (No. 14)
Inequivalent atoms, fractional coordinates:
Rb1 0.020 0.176 0.427 x4
Rb2 0.234 0.039 0.004 x4
Rb3 0.432 0.704 0.646 x4
Fe1 0.349 0.557 0.011 x4
O1 0.147 0.625 0.777 x4
O2 0.349 0.594 0.269 x4
O3 0.383 0.087 0.469 x4

Total magnetic moment ... 0.714 μB/atom

---

Version y
Density functional theory data (PBE+U) for a geometry-optimized Rb3FeO3 structure.

a b c (Å): 6.918 14.440 6.710
angles (deg): 90.00 118.97 90.00
Space group P2_1/c (No. 14)
Inequivalent atoms, fractional coordinates:
Rb1 0.000 0.080 0.190 x4
Rb2 0.442 0.000 0.721 x4
Rb3 0.499 0.250 0.277 x4
Fe1 0.001 0.678 0.745 x4
O1 0.001 0.730 0.020 x4
O2 0.258 0.108 0.927 x4
O3 0.260 0.608 0.831 x4

Total magnetic moment ... 0.714 μB/atom

---

Least stable structure: version y

---

Version w
Density functional theory data (PBE+U) for a geometry-optimized Rb2Fe2O3 structure.

a b c (Å): 12.085 6.319 8.210
angles (deg): 90.00 90.00 90.00
Space group Pnma (No. 62)
Inequivalent atoms, fractional coordinates:
Rb1 0.058 0.250 0.122 x4
Rb2 0.120 0.750 0.501 x4
Fe1 0.145 0.250 0.720 x4
Fe2 0.227 0.750 0.902 x4
O1 0.124 0.250 0.487 x4
O2 0.145 0.502 0.847 x8

Total magnetic moment ... 1.143 μB/atom

---

Version x
Density functional theory data (PBE+U) for a geometry-optimized Rb2Fe2O3 structure.

a b c (Å): 12.318 4.006 6.076
angles (deg): 90.00 116.23 90.00
Space group C2/m (No. 12)
Inequivalent atoms, fractional coordinates:
Rb1 0.097 0.000 0.353 x4
Fe1 0.153 0.500 0.962 x4
O1 0.000 0.500 0.000 x2
O2 0.162 0.000 0.882 x4

Total magnetic moment ... 1.142 μB/atom

---

Least stable structure: version x